Entry 1:
The following is a DFT calculation (GGA-PBE) of a geometry-optimized Nd2Dy7Er4 structure.

a = 6.062 Å, b = 6.062 Å, c = 13.273 Å
α = 90.00°, β = 90.00°, γ = 120.00°
Positions (direct):
1 Nd 0.333 0.667 0.000
2 Nd 0.667 0.333 0.000
3 Dy 0.000 0.000 0.000
4 Dy 0.000 0.355 0.219
5 Dy 0.000 0.645 0.781
6 Dy 0.355 0.000 0.219
7 Dy 0.355 0.355 0.781
8 Dy 0.645 0.000 0.781
9 Dy 0.645 0.645 0.219
10 Er 0.000 0.000 0.395
11 Er 0.000 0.000 0.605
12 Er 0.333 0.667 0.500
13 Er 0.667 0.333 0.500

## Properties
symmetry = P-31m, No. 162

=====

Entry 2:
The following is a DFT calculation (GGA-PBE) of a geometry-optimized NdDyEr2 structure.

a = 5.673 Å, b = 5.673 Å, c = 5.673 Å
α = 60.00°, β = 60.00°, γ = 60.00°
Positions (direct):
1 Nd 0.000 0.000 0.000
2 Dy 0.500 0.500 0.500
3 Er 0.250 0.250 0.250
4 Er 0.750 0.750 0.750

## Properties
symmetry = Fm-3m, No. 225

=====

Entry 3:
The following is a DFT calculation (GGA-PBE) of a geometry-optimized NdDy2Er4 structure.

a = 6.041 Å, b = 6.554 Å, c = 11.489 Å
α = 90.00°, β = 103.97°, γ = 90.00°
Positions (direct):
1 Nd 0.043 0.250 0.365
2 Nd 0.957 0.750 0.635
3 Dy 0.159 0.250 0.950
4 Dy 0.397 0.750 0.510
5 Dy 0.603 0.250 0.490
6 Dy 0.841 0.750 0.050
7 Er 0.145 0.250 0.666
8 Er 0.280 0.750 0.921
9 Er 0.345 0.508 0.210
10 Er 0.345 0.992 0.210
11 Er 0.655 0.008 0.790
12 Er 0.655 0.492 0.790
13 Er 0.720 0.250 0.079
14 Er 0.855 0.750 0.334

## Properties
symmetry = P2_1/m, No. 11

=====

Entry 4:
The following is a DFT calculation (GGA-PBE) of a geometry-optimized Nd7Dy16Er6 structure.

a = 11.199 Å, b = 11.199 Å, c = 11.199 Å
α = 60.00°, β = 60.00°, γ = 60.00°
Positions (direct):
1 Nd 0.000 0.000 0.000
2 Nd 0.000 0.000 0.500
3 Nd 0.000 0.500 0.000
4 Nd 0.000 0.500 0.500
5 Nd 0.500 0.000 0.000
6 Nd 0.500 0.000 0.500
7 Nd 0.500 0.500 0.000
8 Dy 0.052 0.649 0.649
9 Dy 0.128 0.128 0.128
10 Dy 0.128 0.128 0.615
11 Dy 0.128 0.615 0.128
12 Dy 0.351 0.351 0.351
13 Dy 0.351 0.351 0.948
14 Dy 0.351 0.948 0.351
15 Dy 0.385 0.872 0.872
16 Dy 0.615 0.128 0.128
17 Dy 0.649 0.052 0.649
18 Dy 0.649 0.649 0.052
19 Dy 0.649 0.649 0.649
20 Dy 0.872 0.385 0.872
21 Dy 0.872 0.872 0.385
22 Dy 0.872 0.872 0.872
23 Dy 0.948 0.351 0.351
24 Er 0.259 0.259 0.741
25 Er 0.259 0.741 0.259
26 Er 0.259 0.741 0.741
27 Er 0.741 0.259 0.259
28 Er 0.741 0.259 0.741
29 Er 0.741 0.741 0.259

## Properties
symmetry = Fm-3m, No. 225

=====

no.,magnetic moment (Bohr magnetons per cell),final energy (eV per cell),formation enthalpy at 0 K (eV per atom)
1,0.0,-57.5,0.19
2,0.0,-18.0,0.12
3,0.0,-62.7,0.13
4,0.0,-126.8,0.26